Here is a relaxed structure of Tl2VBi from Alexandria via LeMat-Bulk. Energies are from PBE-GGA.

Lattice parameters (Å, degrees): 7.537 7.537 7.537 90.00 90.00 90.00
Space group Fm-3m (No. 225)
Symmetry-distinct sites (fractional):
Tl (0.250, 0.250, 0.250) x8
V (0.000, 0.000, 0.000) x4
Bi (0.000, 0.000, 0.500) x4

Summary:
ΔE to the lowest computed polymorph (eV per atom): 0.0444
Energy of formation (eV per atom): 0.52

Here is a relaxed structure of Ga6Ni3Os from Alexandria via LeMat-Bulk. Energies are from PBE-GGA.

Lattice parameters (Å, degrees): 6.764 6.507 7.961 90.00 125.43 90.00
Space group P2_1/c (No. 14)
Symmetry-distinct sites (fractional):
Ga (0.044, 0.082, 0.231) x4
Ga (0.273, 0.727, 0.670) x4
Ga (0.375, 0.111, 0.835) x4
Ni (0.000, 0.000, 0.500) x2
Ni (0.269, 0.146, 0.072) x4
Os (0.500, 0.000, 0.500) x2

Summary:
Energy of formation (eV per atom): -0.07

Here is a relaxed structure of AlZn2Br from Alexandria via LeMat-Bulk. Energies are from PBE-GGA.

Lattice parameters (Å, degrees): 5.992 3.385 6.140 90.00 104.63 90.00
Space group Pm (No. 6)
Symmetry-distinct sites (fractional):
Al (0.000, 0.000, 0.000) x1
Zn (0.831, 0.500, 0.245) x1
Zn (0.882, 0.000, 0.573) x1
Br (0.356, 0.500, 0.079) x1

Summary:
ΔE to the lowest computed polymorph (eV per atom): 0.2385
Formation energy from raw total energies (eV/atom): 0.045

Here is a relaxed structure of AcPt2Au from Alexandria via LeMat-Bulk. Energies are from PBE-GGA.

Lattice parameters (Å, degrees): 4.6776 4.6776 14.8615 90.00 90.00 120.00
Space group R-3m (No. 166, hexagonal axes)
Symmetry-distinct sites (fractional):
Ac (0.0000, 0.0000, 0.0000) x3
Pt (0.0000, 0.0000, 0.2021) x6
Au (0.0000, 0.0000, 0.5000) x3

Summary:
ΔE to the lowest computed polymorph (eV per atom): 0.0000
Energy of formation (eV per atom): -0.77

Here is a relaxed structure of RbPd2Br6 from Alexandria via LeMat-Bulk. Energies are from PBE-GGA.

Lattice parameters (Å, degrees): 11.733 5.864 8.301 90.00 99.92 90.00
Space group C2/m (No. 12)
Symmetry-distinct sites (fractional):
Rb (0.000, 0.000, 0.000) x2
Pd (0.137, 0.500, 0.425) x4
Br (0.073, 0.500, 0.698) x4
Br (0.156, 0.000, 0.445) x4
Br (0.183, 0.500, 0.144) x4

Summary:
ΔE to the lowest computed polymorph (eV per atom): 0.0000
Formation energy from raw total energies (eV/atom): -0.605

Here is a relaxed structure of KTaSb2Te from Alexandria via LeMat-Bulk. Energies are from PBE-GGA.

Lattice parameters (Å, degrees): 5.497 5.497 5.624 90.00 90.00 90.00
Space group P4/mmm (No. 123)
Symmetry-distinct sites (fractional):
K (0.000, 0.000, 0.000) x1
Ta (0.500, 0.500, 0.500) x1
Sb (0.000, 0.500, 0.000) x2
Te (0.000, 0.000, 0.500) x1

Summary:
ΔE to the lowest computed polymorph (eV per atom): 2.0968
Formation energy from raw total energies (eV/atom): 2.043

Here is a relaxed structure of BaSr3Zr4Se12 from Alexandria via LeMat-Bulk. Energies are from PBE-GGA.

Lattice parameters (Å, degrees): 9.072 4.013 14.787 90.00 90.07 90.00
Space group Pm (No. 6)
Symmetry-distinct sites (fractional):
Ba (0.000, 0.000, 0.000) x1
Sr (0.127, 0.500, 0.645) x1
Sr (0.505, 0.000, 0.147) x1
Sr (0.623, 0.500, 0.502) x1
Zr (0.236, 0.000, 0.382) x1
Zr (0.404, 0.500, 0.881) x1
Zr (0.735, 0.000, 0.761) x1
Zr (0.894, 0.500, 0.271) x1
Se (0.049, 0.500, 0.433) x1
Se (0.082, 0.000, 0.219) x1
Se (0.234, 0.000, 0.812) x1
Se (0.288, 0.500, 0.042) x1
Se (0.355, 0.000, 0.542) x1
Se (0.405, 0.500, 0.311) x1
Se (0.545, 0.500, 0.714) x1
Se (0.595, 0.000, 0.929) x1
Se (0.726, 0.000, 0.341) x1
Se (0.767, 0.500, 0.113) x1
Se (0.856, 0.000, 0.602) x1
Se (0.908, 0.500, 0.827) x1

Summary:
Formation energy from raw total energies (eV/atom): -1.612

Here is a relaxed structure of Ba2NaNi2 from Alexandria via LeMat-Bulk. Energies are from PBE-GGA.

Lattice parameters (Å, degrees): 6.009 6.009 8.601 90.00 90.00 90.00
Space group I4/mmm (No. 139)
Symmetry-distinct sites (fractional):
Ba (0.000, 0.500, 0.250) x4
Na (0.000, 0.000, 0.000) x2
Ni (0.000, 0.000, 0.363) x4

Summary:
ΔE to the lowest computed polymorph (eV per atom): 0.1568
Energy of formation (eV per atom): 0.30

| no. | DOS at the Fermi energy (states/eV/f.u.) | VASP energy (eV per cell) |
| --- | --- | --- |
| 1 | 3.33 | -62.6 |
| 2 | 4.46 | -95.0 |
| 3 | 0.91 | -7.8 |
| 4 | 1.18 | -67.6 |
| 5 | 3.57 | -53.7 |
| 6 | 10.83 | -14.1 |
| 7 | 0.25 | -115.2 |
| 8 | 5.67 | -30.5 |